Compound: BaTlPb2
Source: the Alexandria database
Functional: PBEsol
Structure: relaxed

The structure in POSCAR format:
```
BaTlPb2
1.0
5.0910 -2.3512 0.0000
5.0910 2.3512 0.0000
-2.1312 0.0000 5.5779
Ba Tl Pb
1 1 2
direct
0.0000 0.0000 0.0000
0.7611 0.7611 0.2989
0.2376 0.2376 0.6786
0.5043 0.5043 0.4986
```

## Properties
Total DFT energy (no corrections) ... -0.129 hartree per atom
Formation enthalpy at 0 K ... -0.32 eV per atom
Energy above the lowest structure with this stoichiometry ... 0.028 eV per atom

Compound: BaTlPb2
Source: the Alexandria database
Functional: PBEsol
Structure: relaxed

The structure in POSCAR format:
```
BaTlPb2
1.0
-2.5784 2.5784 4.8026
2.5784 -2.5784 4.8026
2.5784 2.5784 -4.8026
Ba Tl Pb
1 1 2
direct
0.0000 0.0000 0.0000
0.2500 0.7500 0.5000
0.5000 0.5000 0.0000
0.7500 0.2500 0.5000
```

## Properties
Total DFT energy (no corrections) ... -0.129 hartree per atom
Formation enthalpy at 0 K ... -0.32 eV per atom
Energy above the lowest structure with this stoichiometry ... 0.028 eV per atom

> What is the formula in the first record?

BaTlPb2